# TbEr2Tl2Hg2

TbEr2Tl2Hg2 after structural relaxation (PBE, Alexandria).

abc: 4.9788 4.9788 26.4179
angles: 90.00 90.00 120.00
Space group R-3m (No. 166, hexagonal axes)
Inequivalent atoms, fractional coordinates:
Tb (0.0000, 0.0000, 0.0000) x3
Er (0.0000, 0.0000, 0.1327) x6
Tl (0.0000, 0.0000, 0.2726) x6
Hg (0.0000, 0.0000, 0.4364) x6

Properties
ρ (g cm⁻³): 11.4
VASP energy (eV per atom): -2.90
Total magnetization (μB per formula unit): 0.0